Arrangement P

DFT (GGA-PBE) results for a relaxed CsLuSO crystal.

The space group is Pca2_1 (No. 29) and the conventional cell measures 8.076, 9.080 and 6.649 Å, with angles of 90.00, 90.00 and 90.00 degrees. The asymmetric unit holds Cs at (0.118, 0.110, 0.000), Lu at (0.074, 0.627, 0.027), S at (0.118, 0.591, 0.640) and O at (0.022, 0.180, 0.574).

The value obtained for the size of the total moment is 0.0 Bohr magnetons per cell.

***

Arrangement Q

DFT (GGA-PBE) results for a relaxed CsLuSO crystal.

The space group is P2_1/c (No. 14) and the conventional cell measures 8.189, 7.150 and 6.545 Å, with angles of 90.00, 102.83 and 90.00 degrees. The asymmetric unit holds Cs at (0.085, 0.235, 0.499), Lu at (0.482, 0.627, 0.778), S at (0.279, 0.600, 0.364) and O at (0.406, 0.145, 0.381).

The value obtained for the size of the total moment is 0.0 Bohr magnetons per cell.

***

Q: Which of them is the least stable? A: arrangement P.